No. 1
Material: CaZrGa3
Method: DFT, PBEsol
State: relaxed

As for the energy relative to the elements: 0.088 eV/atom. The calculation puts the total energy at -20.80 eV/cell.

Lattice parameters (Å, degrees): 5.1063 5.1063 5.1063 90.00 90.00 90.00
Closest atoms and distances in Å follow each position.
Element x y z (fractional)
Ca 0.0000 0.0000 0.0000  12 Ga 3.61
Zr 0.5000 0.5000 0.5000  6 Ga 2.55
Ga 0.0000 0.5000 0.5000  2 Zr 2.55
Ga 0.5000 0.0000 0.5000  2 Zr 2.55
Ga 0.5000 0.5000 0.0000  2 Zr 2.55

***

No. 2
Material: CdMo2As
Method: DFT, PBEsol
State: relaxed

The relative energy among the computed polymorphs is 0 meV per atom. As for the energy relative to the elements: 0.141 eV/atom. The calculation puts the total energy at -29.28 eV/cell.

Lattice parameters (Å, degrees): 3.1808 3.1808 6.7522 90.00 90.00 90.00
Closest atoms and distances in Å follow each position.
Element x y z (fractional)
Cd 0.0000 0.0000 0.0000  4 Mo 2.93, 4 As 3.06, 4 Cd 3.18
Mo 0.0000 0.0000 0.4887  4 As 2.64, 4 Mo 2.66
Mo 0.5000 0.5000 0.2774  4 Mo 2.66, 1 As 2.80, 4 Cd 2.93
As 0.5000 0.5000 0.6920  5 Mo 2.64-2.80

***

No. 3
Material: LiPtRh2
Method: DFT, PBEsol
State: relaxed

The relative energy among the computed polymorphs is 105 meV per atom. As for the energy relative to the elements: -0.056 eV/atom. The calculation puts the total energy at -25.43 eV/cell.

Lattice parameters (Å, degrees): 5.1965 5.1965 2.6307 103.06 103.06 120.31
Closest atoms and distances in Å follow each position.
Element x y z (fractional)
Li 0.0000 0.0000 0.0000  4 Pt 2.59-2.73, 2 Li 2.63, 4 Rh 2.63
Pt 0.5000 0.5000 0.0000  4 Li 2.59-2.73, 2 Pt 2.63, 4 Rh 2.63
Rh 0.0000 0.5000 0.5000  6 Rh 2.59-2.73, 2 Li 2.63, 2 Pt 2.63
Rh 0.5000 0.0000 0.5000  6 Rh 2.59-2.73, 2 Li 2.63, 2 Pt 2.63

***

No. 4
Material: YFeCl2
Method: DFT, PBEsol
State: relaxed

The relative energy among the computed polymorphs is 317 meV per atom. The calculation puts the total energy at -21.82 eV/cell. For the uncorrected formation energy, the calculation gives -0.51 eV per atom.

Lattice parameters (Å, degrees): 4.9014 4.9014 4.9014 127.44 127.44 77.54
Closest atoms and distances in Å follow each position.
Element x y z (fractional)
Y 0.0000 0.0000 0.0000  8 Cl 2.89, 4 Fe 3.07
Fe 0.5000 0.5000 0.0000  8 Cl 2.89, 4 Y 3.07
Cl 0.2500 0.7500 0.5000  4 Fe 2.89, 4 Y 2.89, 4 Cl 3.07
Cl 0.7500 0.2500 0.5000  4 Fe 2.89, 4 Y 2.89, 4 Cl 3.07

***

No. 5
Material: MgP2Cl
Method: DFT, PBEsol
State: relaxed

The relative energy among the computed polymorphs is 163 meV per atom. The calculation puts the total energy at -15.86 eV/cell. For the uncorrected formation energy, the calculation gives -0.14 eV per atom.

Lattice parameters (Å, degrees): 4.5447 4.5447 4.5447 106.92 106.92 114.70
Closest atoms and distances in Å follow each position.
Element x y z (fractional)
Mg 0.0000 0.0000 0.0000  2 Cl 2.45, 4 P 2.71
P 0.0000 0.5000 0.5000  2 P 2.45, 2 Cl 2.71, 2 Mg 2.71
P 0.5000 0.0000 0.5000  2 P 2.45, 2 Cl 2.71, 2 Mg 2.71
Cl 0.5000 0.5000 0.0000  2 Mg 2.45, 4 P 2.71

***

No. 6
Material: Ho2ZnPd
Method: DFT, PBEsol
State: relaxed

As for the energy relative to the elements: -0.613 eV/atom. The calculation puts the total energy at -19.89 eV/cell.

Lattice parameters (Å, degrees): 4.8916 4.8916 4.8916 60.00 60.00 60.00
Closest atoms and distances in Å follow each position.
Element x y z (fractional)
Ho 0.2500 0.2500 0.2500  4 Pd 3.00, 4 Zn 3.00
Ho 0.7500 0.7500 0.7500  4 Pd 3.00, 4 Zn 3.00
Zn 0.0000 0.0000 0.0000  8 Ho 3.00
Pd 0.5000 0.5000 0.5000  8 Ho 3.00